## w
Cs2GaAg2: optimized geometry, PBE-GGA.

POSCAR file:
```
Cs2GaAg2
1.0
2.387 1.378 11.421
-2.387 1.378 11.421
0.000 -2.757 11.421
Cs Ga Ag
2 1 2
Direct
0.074 0.074 0.074
0.926 0.926 0.926
0.500 0.500 0.500
0.177 0.177 0.177
0.823 0.823 0.823
```

---

## x
Cs2GaAg2: optimized geometry, PBE-GGA.

POSCAR file:
```
Cs2GaAg2
1.0
10.427 0.000 0.000
0.000 10.427 0.000
0.000 0.000 3.880
Cs Ga Ag
4 2 4
Direct
0.142 0.358 0.000
0.358 0.858 0.000
0.642 0.142 0.000
0.858 0.642 0.000
0.000 0.000 0.000
0.500 0.500 0.000
0.160 0.660 0.500
0.340 0.160 0.500
0.660 0.840 0.500
0.840 0.340 0.500
```

---

What are the relative energies? In meV/atom: w 0; x 445.

---

## w
CsAgGe: optimized geometry, PBE-GGA.

POSCAR file:
```
CsAgGe
1.0
-2.047 5.810 4.335
2.047 -5.810 4.335
2.047 5.810 -4.335
Cs Ag Ge
2 2 2
Direct
0.000 0.000 0.000
0.500 0.000 0.500
0.388 0.638 0.750
0.612 0.362 0.250
0.080 0.330 0.750
0.920 0.670 0.250
```

---

## x
CsAgGe: optimized geometry, PBE-GGA.

POSCAR file:
```
CsAgGe
1.0
-2.364 2.364 8.708
2.364 -2.364 8.708
2.364 2.364 -8.708
Cs Ag Ge
2 2 2
Direct
0.170 0.170 0.000
0.830 0.830 0.000
0.000 0.500 0.500
0.500 0.000 0.500
0.422 0.422 0.000
0.578 0.578 0.000
```

---

## y
CsAgGe: optimized geometry, PBE-GGA.

POSCAR file:
```
CsAgGe
1.0
4.470 0.000 0.000
-2.235 3.871 0.000
0.000 0.000 6.057
Cs Ag Ge
1 1 1
Direct
0.000 0.000 0.000
0.667 0.333 0.500
0.333 0.667 0.500
```

---

What are the relative energies? In meV/atom: w 63; x 0; y 198.

---

## w
Cs3AgGe: optimized geometry, PBE-GGA.

POSCAR file:
```
Cs3AgGe
1.0
7.354 0.000 0.000
0.000 8.622 0.000
-4.560 0.000 17.208
Cs Ag Ge
12 4 4
Direct
0.035 0.235 0.139
0.035 0.765 0.639
0.215 0.265 0.684
0.215 0.735 0.184
0.416 0.242 0.973
0.416 0.758 0.473
0.584 0.242 0.527
0.584 0.758 0.027
0.785 0.265 0.816
0.785 0.735 0.316
0.965 0.235 0.361
0.965 0.765 0.861
0.432 0.383 0.318
0.432 0.617 0.818
0.568 0.383 0.182
0.568 0.617 0.682
0.445 0.073 0.309
0.445 0.927 0.809
0.555 0.073 0.191
0.555 0.927 0.691
```

---

## x
Cs3AgGe: optimized geometry, PBE-GGA.

POSCAR file:
```
Cs3AgGe
1.0
6.987 0.000 0.000
0.000 6.987 0.000
0.000 0.000 6.987
Cs Ag Ge
3 1 1
Direct
0.000 0.000 0.500
0.000 0.500 0.000
0.500 0.000 0.000
0.500 0.500 0.500
0.000 0.000 0.000
```

---

What are the relative energies? In meV/atom: w 0; x 262.

---

## w
Cs2Ag2Ge: optimized geometry, PBE-GGA.

POSCAR file:
```
Cs2Ag2Ge
1.0
-3.609 3.609 3.954
3.609 -3.609 3.954
3.609 3.609 -3.954
Cs Ag Ge
2 2 1
Direct
0.250 0.750 0.500
0.750 0.250 0.500
0.172 0.172 0.000
0.828 0.828 0.000
0.500 0.500 0.000
```

---

## x
Cs2Ag2Ge: optimized geometry, PBE-GGA.

POSCAR file:
```
Cs2Ag2Ge
1.0
7.326 0.000 0.000
0.000 7.326 0.000
0.000 0.000 6.054
Cs Ag Ge
4 4 2
Direct
0.180 0.320 0.000
0.320 0.820 0.000
0.680 0.180 0.000
0.820 0.680 0.000
0.144 0.644 0.500
0.356 0.144 0.500
0.644 0.856 0.500
0.856 0.356 0.500
0.000 0.000 0.500
0.500 0.500 0.500
```

---

What are the relative energies? In meV/atom: w 7; x 0.

---

## w
CsAgH2: optimized geometry, PBE-GGA.

POSCAR file:
```
CsAgH2
1.0
1.792 1.034 6.377
-1.792 1.034 6.377
0.000 -2.069 6.377
Cs Ag H
1 1 2
Direct
0.000 0.000 0.000
0.500 0.500 0.500
0.219 0.219 0.219
0.781 0.781 0.781
```

---

## x
CsAgH2: optimized geometry, PBE-GGA.

POSCAR file:
```
CsAgH2
1.0
5.968 0.000 0.000
0.000 3.505 0.000
-0.046 0.000 9.066
Cs Ag H
2 2 4
Direct
0.000 0.000 0.000
0.000 0.500 0.500
0.486 0.000 0.753
0.514 0.000 0.247
0.223 0.000 0.290
0.345 0.500 0.780
0.655 0.500 0.220
0.777 0.000 0.710
```

---

What are the relative energies? In meV/atom: w 251; x 0.

---

## w
CsAgH2: optimized geometry, PBE-GGA.

POSCAR file:
```
CsAgH2
1.0
0.000 3.524 3.524
3.524 0.000 3.524
3.524 3.524 0.000
Cs Ag H
1 1 2
Direct
0.000 0.000 0.000
0.500 0.500 0.500
0.250 0.250 0.250
0.750 0.750 0.750
```

---

## x
CsAgH2: optimized geometry, PBE-GGA.

POSCAR file:
```
CsAgH2
1.0
-3.052 3.052 4.241
3.052 -3.052 4.241
3.052 3.052 -4.241
Cs Ag H
2 2 4
Direct
0.000 0.000 0.000
0.750 0.250 0.500
0.250 0.750 0.500
0.500 0.500 0.000
0.339 0.125 0.714
0.375 0.661 0.786
0.411 0.625 0.286
0.875 0.589 0.214
```

---

What are the relative energies? In meV/atom: w 811; x 0.